# 1
Below is an optimized crystal structure of LuThTl, with properties calculated at the PBE level.

Unit cell a=5.3394 b=5.3394 c=3.6270 alpha=90.00 beta=90.00 gamma=120.00
Space group P3m1 (No. 156)
Symmetry-distinct sites (fractional):
Lu (0.0000, 0.0000, 0.0000)
Th (0.6667, 0.3333, 0.4862)
Tl (0.3333, 0.6667, 0.9333)

Properties
ΔH_f (0 K) ... 22 meV per atom
Crystal system ... trigonal
Energy above the lowest structure with this stoichiometry ... 0.135 eV/atom
Total energy ... -4.7472 eV/atom

---

# 2
Below is an optimized crystal structure of Pr4NiAu, with properties calculated at the PBE level.

Unit cell a=9.251 b=14.616 c=7.105 alpha=90.00 beta=129.08 gamma=90.00
Space group C2/c (No. 15)
Symmetry-distinct sites (fractional):
Pr (0.169, 0.219, 0.175)
Pr (0.244, 0.033, 0.739)
Ni (0.000, 0.087, 0.250)
Au (0.000, 0.376, 0.750)

Properties
ΔH_f (0 K) ... -267 meV per atom
Crystal system ... monoclinic
Energy above the lowest structure with this stoichiometry ... 0.065 eV/atom
Total energy ... -4.9632 eV/atom

---

# 3
Below is an optimized crystal structure of Li7Pb3, with properties calculated at the PBE level.

Unit cell a=14.835 b=4.742 c=5.959 alpha=90.00 beta=108.24 gamma=90.00
Space group C2/m (No. 12)
Symmetry-distinct sites (fractional):
Li (0.000, 0.000, 0.000)
Li (0.106, 0.500, 0.391)
Li (0.107, 0.500, 0.876)
Li (0.200, 0.000, 0.761)
Pb (0.000, 0.000, 0.500)
Pb (0.195, 0.000, 0.254)

Properties
ΔH_f (0 K) ... -276 meV per atom
Crystal system ... monoclinic
Total energy ... -2.7278 eV/atom

---

# 4
Below is an optimized crystal structure of La8NiPd3Br4, with properties calculated at the PBE level.

Unit cell a=8.5239 b=8.5239 c=23.6109 alpha=90.00 beta=90.00 gamma=120.00
Space group R-3m (No. 166, hexagonal axes)
Symmetry-distinct sites (fractional):
La (0.0000, 0.0000, 0.2346)
La (0.0093, 0.5047, 0.2330)
Ni (0.0000, 0.0000, 0.5000)
Pd (0.0000, 0.5000, 0.5000)
Br (0.0000, 0.0000, 0.0000)
Br (0.0000, 0.5000, 0.0000)

Properties
Formation energy (no corrections) ... -1022.7 meV/atom
Crystal system ... trigonal
Total energy ... -5.2397 eV/atom

---

# 5
Below is an optimized crystal structure of GePd3Pb, with properties calculated at the PBE level.

Unit cell a=5.044 b=5.044 c=5.044 alpha=90.00 beta=90.00 gamma=90.00
Space group Pm-3m (No. 221)
Symmetry-distinct sites (fractional):
Ge (0.000, 0.000, 0.000)
Pd (0.000, 0.500, 0.500)
Pb (0.500, 0.500, 0.500)

Properties
ΔH_f (0 K) ... 771 meV per atom
Crystal system ... cubic
Energy above the lowest structure with this stoichiometry ... 1.125 eV/atom
Total energy ... -4.0098 eV/atom

---

# 6
Below is an optimized crystal structure of K3LaNp2Te6, with properties calculated at the PBE level.

Unit cell a=8.004 b=13.864 c=8.634 alpha=90.00 beta=108.02 gamma=90.00
Space group C2/m (No. 12)
Symmetry-distinct sites (fractional):
K (0.000, 0.000, 0.000)
K (0.000, 0.335, 0.000)
La (0.000, 0.500, 0.500)
Np (0.000, 0.167, 0.500)
Te (0.229, 0.000, 0.712)
Te (0.242, 0.329, 0.712)

Properties
Formation energy (no corrections) ... -1086.5 meV/atom
Crystal system ... monoclinic
Total energy ... -5.4991 eV/atom